Here is a relaxed NdIn2Hg8 crystal from Alexandria via LeMat-Bulk. Energies are from PBE.

## Properties
The volume is 600.3 Å³/cell. As for the formation energy: -1.124 eV per formula unit. Its crystal system is monoclinic. The value obtained for the energy above the most stable polymorph in this dataset is 0 kJ/mol of formula units.

a b c (Å): 9.690 13.925 4.449
angles (deg): 90.00 90.23 90.00
Space group C2/m (No. 12)
Unique sites:
Nd 0.000 0.000 0.000
In 0.000 0.380 0.500
Hg 0.000 0.235 0.000
Hg 0.170 0.500 0.000
Hg 0.181 0.135 0.501